Here is a relaxed AcYTmIn crystal from Alexandria via LeMat-Bulk. Energies are from PBE-GGA.

a b c (Å): 5.5974 5.5974 5.5974
angles (deg): 60.00 60.00 60.00
Closest atoms and distances in Å follow each position.
Element x y z (fractional)
Ac 0.0000 0.0000 0.0000  4 Tm 3.43, 4 Y 3.43
Y 0.2500 0.2500 0.2500  4 Ac 3.43, 4 In 3.43
Tm 0.7500 0.7500 0.7500  4 Ac 3.43, 4 In 3.43
In 0.5000 0.5000 0.5000  4 Tm 3.43, 4 Y 3.43

Values from the calculation:
Density of states at the Fermi level in states/eV per atom: 1.66
E_form in eV per atom: -0.021
Total magnetic moment in Bohr magnetons per cell: 1.20

***

Here is a relaxed AcTmZn2In2 crystal from Alexandria via LeMat-Bulk. Energies are from PBE-GGA.

a b c (Å): 4.7243 4.7243 7.8633
angles (deg): 90.00 90.00 120.00
Closest atoms and distances in Å follow each position.
Element x y z (fractional)
Ac 0.0000 0.0000 0.0000  6 In 3.51, 6 Zn 3.65, 2 Tm 3.93
Tm 0.0000 0.0000 0.5000  6 Zn 3.12, 6 In 3.22
Zn 0.3333 0.6667 0.6916  3 In 2.74
Zn 0.6667 0.3333 0.3084  3 In 2.74
In 0.3333 0.6667 0.2818  3 Zn 2.74
In 0.6667 0.3333 0.7182  3 Zn 2.74

Values from the calculation:
Density of states at the Fermi level in states/eV per atom: 0.61
E_form in eV per atom: -0.427
Total magnetic moment in Bohr magnetons per cell: 0.00

***

Here is a relaxed AcTm2Zn2In2 crystal from Alexandria via LeMat-Bulk. Energies are from PBE-GGA.

a b c (Å): 9.7928 9.7928 9.7928
angles (deg): 28.25 28.25 28.25
Closest atoms and distances in Å follow each position.
Element x y z (fractional)
Ac 0.0000 0.0000 0.0000  6 In 3.53, 2 Tm 3.75, 6 Zn 3.84
Tm 0.1331 0.1331 0.1331  3 Zn 2.96, 3 In 3.17
Tm 0.8669 0.8669 0.8669  3 Zn 2.96, 3 In 3.17
Zn 0.4282 0.4282 0.4282  3 In 2.80, 3 Tm 2.96
Zn 0.5718 0.5718 0.5718  3 In 2.80, 3 Tm 2.96
In 0.2553 0.2553 0.2553  3 Zn 2.80
In 0.7447 0.7447 0.7447  3 Zn 2.80

Values from the calculation:
Density of states at the Fermi level in states/eV per atom: 0.46
E_form in eV per atom: -0.282
Total magnetic moment in Bohr magnetons per cell: 0.00

***

Here is a relaxed Ac2VIn crystal from Alexandria via LeMat-Bulk. Energies are from PBE-GGA.

a b c (Å): 11.8876 11.8876 11.8876
angles (deg): 17.72 17.72 17.72
Closest atoms and distances in Å follow each position.
Element x y z (fractional)
Ac 0.0864 0.0864 0.0864  1 V 3.03
Ac 0.9136 0.9136 0.9136  1 V 3.03
V 0.0000 0.0000 0.0000  2 Ac 3.03
In 0.5000 0.5000 0.5000  6 Ac 3.52, 6 In 3.66

Values from the calculation:
Density of states at the Fermi level in states/eV per atom: 1.05
E_form in eV per atom: 0.640
Total magnetic moment in Bohr magnetons per cell: 3.66

***

Here is a relaxed AcY2In crystal from Alexandria via LeMat-Bulk. Energies are from PBE-GGA.

a b c (Å): 5.6268 5.6268 5.6268
angles (deg): 60.00 60.00 60.00
Closest atoms and distances in Å follow each position.
Element x y z (fractional)
Ac 0.0000 0.0000 0.0000  8 Y 3.45
Y 0.2500 0.2500 0.2500  4 Ac 3.45, 4 In 3.45
Y 0.7500 0.7500 0.7500  4 In 3.45, 4 Ac 3.45
In 0.5000 0.5000 0.5000  8 Y 3.45

Values from the calculation:
Density of states at the Fermi level in states/eV per atom: 1.70
E_form in eV per atom: -0.051
Total magnetic moment in Bohr magnetons per cell: 1.20
ΔE to the lowest computed polymorph in meV per atom: 183.1

***

Here is a relaxed Ac5YIn6 crystal from Alexandria via LeMat-Bulk. Energies are from PBE-GGA.

a b c (Å): 9.6844 9.6844 5.8908
angles (deg): 100.15 100.15 47.00
Closest atoms and distances in Å follow each position.
Element x y z (fractional)
Ac 0.0000 0.0000 0.0000  8 In 3.49-3.68, 2 Ac 3.76, 2 Y 3.86
Ac 0.1617 0.1617 0.6711  8 In 3.54-3.69, 4 Ac 3.76-3.90
Ac 0.3223 0.3223 0.3029  8 In 3.45-3.57
Ac 0.6777 0.6777 0.6971  8 In 3.45-3.57
Ac 0.8383 0.8383 0.3289  8 In 3.54-3.69, 4 Ac 3.76-3.90
Y 0.5000 0.5000 0.0000  8 In 3.30-3.38
In 0.1143 0.5715 0.8161  1 Y 3.30, 7 Ac 3.45-3.69, 2 In 3.53-3.64
In 0.2858 0.7142 0.5000  3 In 3.31-3.64, 2 Y 3.38, 6 Ac 3.55-3.68
In 0.4285 0.8857 0.1839  1 Y 3.30, 7 Ac 3.45-3.69, 2 In 3.53-3.64
In 0.5715 0.1143 0.8161  1 Y 3.30, 7 Ac 3.45-3.69, 2 In 3.53-3.64
In 0.7142 0.2858 0.5000  3 In 3.31-3.64, 2 Y 3.38, 6 Ac 3.55-3.68
In 0.8857 0.4285 0.1839  1 Y 3.30, 7 Ac 3.45-3.69, 2 In 3.53-3.64

Values from the calculation:
Density of states at the Fermi level in states/eV per atom: 0.77
E_form in eV per atom: -0.421
Total magnetic moment in Bohr magnetons per cell: 0.00

***

Here is a relaxed Ac14YIn crystal from Alexandria via LeMat-Bulk. Energies are from PBE-GGA.

a b c (Å): 7.8111 7.8111 11.1294
angles (deg): 90.00 90.00 90.00
Closest atoms and distances in Å follow each position.
Element x y z (fractional)
Ac 0.0000 0.0000 0.0000  12 Ac 3.91-3.97
Ac 0.0000 0.5000 0.0000  12 Ac 3.91-3.98
Ac 0.0000 0.5000 0.5000  8 Ac 3.86, 2 In 3.91, 2 Y 3.91
Ac 0.2484 0.2484 0.2581  1 In 3.84, 10 Ac 3.86-4.00, 1 Y 3.87
Ac 0.2484 0.2484 0.7419  1 In 3.84, 10 Ac 3.86-4.00, 1 Y 3.87
Ac 0.2484 0.7516 0.2581  1 In 3.84, 10 Ac 3.86-4.00, 1 Y 3.87
Ac 0.2484 0.7516 0.7419  1 In 3.84, 10 Ac 3.86-4.00, 1 Y 3.87
Ac 0.5000 0.0000 0.0000  12 Ac 3.91-3.98
Ac 0.5000 0.0000 0.5000  8 Ac 3.86, 2 In 3.91, 2 Y 3.91
Ac 0.5000 0.5000 0.0000  12 Ac 3.91-4.00
Ac 0.7516 0.2484 0.2581  1 In 3.84, 10 Ac 3.86-4.00, 1 Y 3.87
Ac 0.7516 0.2484 0.7419  1 In 3.84, 10 Ac 3.86-4.00, 1 Y 3.87
Ac 0.7516 0.7516 0.2581  1 In 3.84, 10 Ac 3.86-4.00, 1 Y 3.87
Ac 0.7516 0.7516 0.7419  1 In 3.84, 10 Ac 3.86-4.00, 1 Y 3.87
Y 0.5000 0.5000 0.5000  12 Ac 3.87-3.91
In 0.0000 0.0000 0.5000  12 Ac 3.84-3.91

Values from the calculation:
Density of states at the Fermi level in states/eV per atom: 1.36
E_form in eV per atom: -0.024
Total magnetic moment in Bohr magnetons per cell: 0.00

***

Here is a relaxed AcY2In crystal from Alexandria via LeMat-Bulk. Energies are from PBE-GGA.

a b c (Å): 5.0664 5.0664 5.0044
angles (deg): 90.00 90.00 90.00
Closest atoms and distances in Å follow each position.
Element x y z (fractional)
Ac 0.0000 0.0000 0.0000  8 Y 3.56, 4 In 3.58
Y 0.0000 0.5000 0.5000  4 In 3.56, 4 Ac 3.56, 4 Y 3.58
Y 0.5000 0.0000 0.5000  4 In 3.56, 4 Ac 3.56, 4 Y 3.58
In 0.5000 0.5000 0.0000  8 Y 3.56, 4 Ac 3.58

Values from the calculation:
Density of states at the Fermi level in states/eV per atom: 1.39
E_form in eV per atom: -0.188
Total magnetic moment in Bohr magnetons per cell: 0.95
ΔE to the lowest computed polymorph in meV per atom: 45.8

***

Here is a relaxed AcY5In4 crystal from Alexandria via LeMat-Bulk. Energies are from PBE-GGA.

a b c (Å): 3.6138 3.6138 22.0284
angles (deg): 90.00 90.00 90.00
Closest atoms and distances in Å follow each position.
Element x y z (fractional)
Ac 0.0000 0.0000 0.0000  4 Ac 3.61, 8 Y 3.77
Y 0.5000 0.5000 0.1256  4 In 3.26, 4 Y 3.61
Y 0.5000 0.5000 0.3120  8 In 3.29-3.30, 4 Y 3.61
Y 0.5000 0.5000 0.5000  8 In 3.29, 4 Y 3.61
Y 0.5000 0.5000 0.6880  8 In 3.29-3.30, 4 Y 3.61
Y 0.5000 0.5000 0.8744  4 In 3.26, 4 Y 3.61
In 0.0000 0.0000 0.2172  8 Y 3.26-3.30, 4 In 3.61
In 0.0000 0.0000 0.4058  8 Y 3.29, 4 In 3.61
In 0.0000 0.0000 0.5942  8 Y 3.29, 4 In 3.61
In 0.0000 0.0000 0.7828  8 Y 3.26-3.30, 4 In 3.61

Values from the calculation:
Density of states at the Fermi level in states/eV per atom: 0.76
E_form in eV per atom: -0.390
Total magnetic moment in Bohr magnetons per cell: 0.01

***

Here is a relaxed AcYIn crystal from Alexandria via LeMat-Bulk. Energies are from PBE-GGA.

a b c (Å): 9.3245 9.3245 9.3245
angles (deg): 158.09 158.09 31.18
Closest atoms and distances in Å follow each position.
Element x y z (fractional)
Ac 0.0000 0.0000 0.0000  1 In 3.30, 4 Ac 3.54, 1 Y 3.64
Y 0.2026 0.2026 0.0000  4 In 3.23, 4 Y 3.54
In 0.8161 0.8161 0.0000  4 Y 3.23, 1 Ac 3.30, 4 In 3.54

Values from the calculation:
Density of states at the Fermi level in states/eV per atom: 1.39
E_form in eV per atom: 0.262
Total magnetic moment in Bohr magnetons per cell: 0.34
ΔE to the lowest computed polymorph in meV per atom: 588.3

***

Here is a relaxed Ac3YIn12 crystal from Alexandria via LeMat-Bulk. Energies are from PBE-GGA.

a b c (Å): 4.8498 4.8498 19.4742
angles (deg): 90.00 90.00 90.00
Closest atoms and distances in Å follow each position.
Element x y z (fractional)
Ac 0.0000 0.0000 0.0000  12 In 3.43-3.49
Ac 0.0000 0.0000 0.2587  12 In 3.43-3.50
Ac 0.0000 0.0000 0.7413  12 In 3.43-3.50
Y 0.0000 0.0000 0.5000  12 In 3.30-3.43
In 0.0000 0.5000 0.1288  8 In 3.39-3.49, 4 Ac 3.49-3.50
In 0.0000 0.5000 0.3853  8 In 3.30-3.58, 2 Y 3.30, 2 Ac 3.46
In 0.0000 0.5000 0.6147  8 In 3.30-3.58, 2 Y 3.30, 2 Ac 3.46
In 0.0000 0.5000 0.8712  8 In 3.39-3.49, 4 Ac 3.49-3.50
In 0.5000 0.0000 0.1288  8 In 3.39-3.49, 4 Ac 3.49-3.50
In 0.5000 0.0000 0.3853  8 In 3.30-3.58, 2 Y 3.30, 2 Ac 3.46
In 0.5000 0.0000 0.6147  8 In 3.30-3.58, 2 Y 3.30, 2 Ac 3.46
In 0.5000 0.0000 0.8712  8 In 3.39-3.49, 4 Ac 3.49-3.50
In 0.5000 0.5000 0.0000  4 Ac 3.43, 8 In 3.49
In 0.5000 0.5000 0.2504  8 In 3.39-3.58, 4 Ac 3.43
In 0.5000 0.5000 0.5000  8 In 3.30, 4 Y 3.43
In 0.5000 0.5000 0.7496  8 In 3.39-3.58, 4 Ac 3.43

Values from the calculation:
Density of states at the Fermi level in states/eV per atom: 0.52
E_form in eV per atom: -0.398
Total magnetic moment in Bohr magnetons per cell: 0.00

***

Here is a relaxed Ac6YIn2 crystal from Alexandria via LeMat-Bulk. Energies are from PBE-GGA.

a b c (Å): 7.3270 7.3270 12.8917
angles (deg): 106.74 106.74 31.91
Closest atoms and distances in Å follow each position.
Element x y z (fractional)
Ac 0.0302 0.0302 0.3341  2 In 3.54, 3 Ac 3.74-3.90
Ac 0.3076 0.3076 0.4008  10 Ac 3.70-4.03, 2 In 3.72
Ac 0.3262 0.3262 0.1202  2 In 3.54, 5 Ac 3.70-3.90, 2 Y 3.84
Ac 0.6738 0.6738 0.8798  2 In 3.54, 5 Ac 3.70-3.90, 2 Y 3.84
Ac 0.6924 0.6924 0.5992  10 Ac 3.70-4.03, 2 In 3.72
Ac 0.9698 0.9698 0.6659  2 In 3.54, 3 Ac 3.74-3.90
Y 0.0000 0.0000 0.0000  4 In 3.24
In 0.3591 0.3591 0.8235  2 Y 3.24, 4 Ac 3.54
In 0.6409 0.6409 0.1765  2 Y 3.24, 4 Ac 3.54

Values from the calculation:
Density of states at the Fermi level in states/eV per atom: 1.20
E_form in eV per atom: -0.175
Total magnetic moment in Bohr magnetons per cell: 0.00